Entry from Alexandria via LeMat-Bulk: a relaxed LiHfZr crystal (PBE).

Structure (CIF):
```
data_LiHfZr
_chemical_formula_sum 'Li2 Hf2 Zr2'
_cell_length_a 3.202
_cell_length_b 3.202
_cell_length_c 12.521
_cell_angle_alpha 90.00
_cell_angle_beta 90.00
_cell_angle_gamma 90.00
_space_group_name_H-M_alt 'I 4 m m'
_space_group_IT_number 107
_space_group_name_Hall 'I 4 -2'
loop_
_atom_site_label
_atom_site_type_symbol
_atom_site_fract_x
_atom_site_fract_y
_atom_site_fract_z
Li1 Li 0.000 0.000 0.000
Hf1 Hf 0.000 0.000 0.332
Zr1 Zr 0.000 0.000 0.671
```

Calculated values
Its total energy is -0.4902 Ry/atom. The calculation puts the energy above the most stable polymorph in this dataset at 0.05 eV/f.u. The value obtained for the spin magnetization is 0.00 Bohr magnetons per cell. For the formation energy, the calculation gives 0.41 eV/f.u.